# AsHBr2 | the Alexandria database | PBE | optimized geometry
# - volume (Å³ per cell) = 140.62
# - energy (eV/atom) = -3.0679
data_AsHBr2
_chemical_formula_sum 'As1 H1 Br2'
_cell_length_a 5.519
_cell_length_b 5.724
_cell_length_c 5.731
_cell_angle_alpha 83.54
_cell_angle_beta 62.33
_cell_angle_gamma 62.23
_symmetry_space_group_name_H-M 'P 1'
_symmetry_Int_Tables_number 1
loop_
_symmetry_equiv_pos_as_xyz
'x,y,z'
loop_
_atom_site_label
_atom_site_type_symbol
_atom_site_fract_x
_atom_site_fract_y
_atom_site_fract_z
_atom_site_occupancy
As1 As 0.000 0.000 0.000 1
H1 H 0.357 0.874 0.875 1
Br1 Br 0.932 0.443 0.955 1
Br2 Br 0.932 0.956 0.443 1